[1]
Density functional theory data (GGA-PBE) for a relaxed structure of KNb2Mo.

extended XYZ file:
```
8
Lattice="-0.9959 -2.6643 -4.4379 -1.9543 -3.9912 2.8347 -9.3200 0.2417 -1.1842" Properties=species:S:1:pos:R:3 pbc="T T T"
K -1.4751 -3.3278 -0.8016
K -6.3747 -3.5386 0.4245
Mo 0.0000 0.0000 0.0000
Mo -5.8955 -2.8752 -3.2118
Nb -3.3966 -2.6385 -3.6063
Nb -4.4719 -4.8966 -2.6261
Nb -7.7040 -1.5133 -2.0584
Nb -8.0094 -2.4523 -4.5565
```

Results
E_form   7.01 eV/f.u.
ρ   4.4 Mg/m³
V   239.7 Å³/cell
E above lowest polymorph   441 meV/atom


[2]
Density functional theory data (GGA-PBE) for a relaxed structure of Ti4Ni15Pd.

extended XYZ file:
```
20
Lattice="-1.3298 0.5126 3.3221 2.9328 -1.5687 1.4160 8.2205 16.0975 0.8069" Properties=species:S:1:pos:R:3 pbc="T T T"
Ti 1.6350 3.2016 0.1605
Ti 3.2869 6.4364 0.3226
Ti 4.9336 9.6611 0.4843
Ti 6.5855 12.8959 0.6464
Ni 0.8015 -0.5281 2.3691
Ni 2.4694 2.7380 2.5328
Ni 4.0951 5.9216 2.6924
Ni 5.7284 9.1198 2.8527
Ni 7.3541 12.3034 3.0122
Ni 0.1904 1.9312 1.7450
Ni 1.8155 5.1134 1.9045
Ni 3.4453 8.3050 2.0645
Ni 5.0752 11.4967 2.2245
Ni 6.7003 14.6789 2.3840
Ni 2.3217 0.8905 0.7920
Ni 3.9468 4.0728 0.9515
Ni 5.5767 7.2644 1.1115
Ni 7.2065 10.4561 1.2715
Ni 8.8316 13.6383 1.4310
Pd 0.0000 0.0000 0.0000
```

Results
E_form   -7.32 eV/f.u.
ρ   8.3 Mg/m³
V   236.4 Å³/cell


[3]
Density functional theory data (GGA-PBE) for a relaxed structure of PmNiIr.

extended XYZ file:
```
6
Lattice="5.2792 -0.0956 0.0225 -2.6487 4.5676 -0.0225 -2.5281 -1.5226 4.3783" Properties=species:S:1:pos:R:3 pbc="T T T"
Pm -1.2144 -0.7905 3.8263
Pm 1.3168 3.7399 0.5520
Ni -2.5884 1.5225 2.1779
Ni 1.3755 -0.8091 2.2004
Ir 0.0512 1.4747 2.1891
Ir -1.3243 2.2838 -0.0112
```

Results
E_form   -1.71 eV/f.u.
ρ   12.6 Mg/m³
V   104.6 Å³/cell
E above lowest polymorph   0 meV/atom


[4]
Density functional theory data (GGA-PBE) for a relaxed structure of Nd4GaHg2.

extended XYZ file:
```
7
Lattice="-0.3233 -0.3950 5.3051 -4.4506 -1.8588 2.2674 1.5318 -8.7208 2.1211" Properties=species:S:1:pos:R:3 pbc="T T T"
Nd -3.6016 -5.2454 7.4212
Nd 0.3595 -5.7292 2.2724
Nd -2.7730 -2.5477 4.9955
Nd -0.4691 -8.4269 4.6981
Hg -2.4287 -8.2383 7.2698
Hg -0.8134 -2.7363 2.4238
Ga 0.0000 0.0000 0.0000
```

Results
E_form   -2.31 eV/f.u.
ρ   8.3 Mg/m³
V   210.8 Å³/cell


Please write out number 2 again, unchanged.
Density functional theory data (GGA-PBE) for a relaxed structure of Ti4Ni15Pd.

extended XYZ file:
```
20
Lattice="-1.3298 0.5126 3.3221 2.9328 -1.5687 1.4160 8.2205 16.0975 0.8069" Properties=species:S:1:pos:R:3 pbc="T T T"
Ti 1.6350 3.2016 0.1605
Ti 3.2869 6.4364 0.3226
Ti 4.9336 9.6611 0.4843
Ti 6.5855 12.8959 0.6464
Ni 0.8015 -0.5281 2.3691
Ni 2.4694 2.7380 2.5328
Ni 4.0951 5.9216 2.6924
Ni 5.7284 9.1198 2.8527
Ni 7.3541 12.3034 3.0122
Ni 0.1904 1.9312 1.7450
Ni 1.8155 5.1134 1.9045
Ni 3.4453 8.3050 2.0645
Ni 5.0752 11.4967 2.2245
Ni 6.7003 14.6789 2.3840
Ni 2.3217 0.8905 0.7920
Ni 3.9468 4.0728 0.9515
Ni 5.5767 7.2644 1.1115
Ni 7.2065 10.4561 1.2715
Ni 8.8316 13.6383 1.4310
Pd 0.0000 0.0000 0.0000
```

Results
E_form   -7.32 eV/f.u.
ρ   8.3 Mg/m³
V   236.4 Å³/cell